[1]
The following is a DFT calculation (PBE) of a relaxed Sr2NbNi2 crystal.

Computed properties:
Energy of formation   0.333 eV per atom

Lattice parameters (Å, degrees): 6.705 6.705 5.020 90.00 90.00 90.00
Fractional coordinates of all 10 atoms:
Sr 0.680 0.820 0.500
Sr 0.180 0.680 0.500
Sr 0.320 0.180 0.500
Sr 0.820 0.320 0.500
Ni 0.128 0.372 0.000
Ni 0.872 0.628 0.000
Ni 0.628 0.128 0.000
Ni 0.372 0.872 0.000
Nb 0.000 0.000 0.000
Nb 0.500 0.500 0.000


[2]
The following is a DFT calculation (PBE) of a relaxed AcLaDy5 crystal.

Computed properties:
Energy of formation   0.097 eV per atom

Lattice parameters (Å, degrees): 6.701 6.701 11.957 106.16 106.16 95.62
Fractional coordinates of all 14 atoms:
Dy 0.385 0.036 0.834
Dy 0.235 0.530 0.965
Dy 0.765 0.470 0.035
Dy 0.826 0.174 0.750
Dy 0.470 0.765 0.535
Dy 0.174 0.826 0.250
Dy 0.530 0.235 0.465
Dy 0.964 0.615 0.666
Dy 0.615 0.964 0.166
Dy 0.036 0.385 0.334
Ac 0.000 0.000 0.500
Ac 0.000 0.000 0.000
La 0.483 0.517 0.750
La 0.517 0.483 0.250


[3]
The following is a DFT calculation (PBE) of a relaxed Cs2SrP2O6 crystal.

Computed properties:
Formation energy from raw total energies   -2.42 eV per atom

Lattice parameters (Å, degrees): 6.230 6.232 6.973 116.59 90.00 119.99
Fractional coordinates of all 11 atoms:
O 0.189 0.965 0.739
O 0.811 0.035 0.261
O 0.776 0.965 0.739
O 0.775 0.551 0.737
O 0.224 0.035 0.261
O 0.225 0.449 0.263
Sr 0.500 0.000 0.500
Cs 0.729 0.458 0.187
Cs 0.271 0.542 0.813
P 0.938 0.876 0.813
P 0.062 0.124 0.187